Ba5P3 | PBE | relaxed

Cell: 9.314 9.314 7.768 Å, 90.00 90.00 120.00°
Fractional positions:
1 Ba 0.000 0.259 0.250
2 Ba 0.000 0.741 0.750
3 Ba 0.259 0.000 0.250
4 Ba 0.259 0.259 0.750
5 Ba 0.333 0.667 0.000
6 Ba 0.333 0.667 0.500
7 Ba 0.667 0.333 0.000
8 Ba 0.667 0.333 0.500
9 Ba 0.741 0.000 0.750
10 Ba 0.741 0.741 0.250
11 P 0.000 0.394 0.750
12 P 0.000 0.606 0.250
13 P 0.394 0.000 0.750
14 P 0.394 0.394 0.250
15 P 0.606 0.000 0.250
16 P 0.606 0.606 0.750

The final energy comes out at -4.1384 eV per atom. For the energy above the most stable polymorph in this dataset, the calculation gives 0 meV per atom.